Entry 1:
The following is a GGA-PBE calculation of a relaxed structure of Tb3Pm4Zn4, from Alexandria via LeMat-Bulk.

Cell: 5.131 6.994 9.368 Å, 111.92 105.89 90.00°
Positions (direct):
Tb 0.099 0.099 0.197
Tb 0.901 0.901 0.803
Tb 0.000 0.500 0.000
Pm 0.678 0.447 0.356
Pm 0.678 0.908 0.356
Pm 0.322 0.092 0.644
Pm 0.322 0.553 0.644
Zn 0.500 0.183 0.000
Zn 0.177 0.677 0.354
Zn 0.500 0.817 0.000
Zn 0.823 0.323 0.646

Output
Volume   297.98 Å³ per cell
Total magnetic moment   0.0 μB/f.u.
SG   Immm (71)
Formation enthalpy at 0 K   -0.100 eV/atom
Calculated total energy   -3.55 eV per atom

=====

Entry 2:
The following is a GGA-PBE calculation of a relaxed structure of Pm2YTl2, from Alexandria via LeMat-Bulk.

Cell: 3.549 9.275 9.275 Å, 90.00 90.00 90.00°
Last column: magnetic moment on the atom in μB.
Positions (direct):
Pm 0.000 0.122 0.622  -0.05
Pm 0.000 0.378 0.122  -0.05
Pm 0.000 0.878 0.378  -0.05
Pm 0.000 0.622 0.878  -0.05
Tl 0.500 0.677 0.177  0.00
Tl 0.500 0.323 0.823  0.00
Tl 0.500 0.823 0.677  0.00
Tl 0.500 0.177 0.323  0.00
Y 0.000 0.000 0.000  0.27
Y 0.000 0.500 0.500  0.27

Output
Volume   305.27 Å³ per cell
ΔE to the lowest computed polymorph   207 meV/atom
Total magnetic moment   0.3 μB/f.u.
SG   P4/mbm (127)
Formation enthalpy at 0 K   -0.122 eV/atom
Calculated total energy   -4.26 eV per atom

=====

Entry 3:
The following is a GGA-PBE calculation of a relaxed structure of PuNpNi2, from Alexandria via LeMat-Bulk.

Cell: 3.524 3.524 5.892 Å, 90.00 90.00 90.00°
Last column: magnetic moment on the atom in μB.
Positions (direct):
Np 0.500 0.500 0.000  3.71
Ni 0.000 0.000 0.227  -0.06
Ni 0.000 0.000 0.773  -0.06
Pu 0.500 0.500 0.500  5.35

Output
Volume   73.18 Å³ per cell
ΔE to the lowest computed polymorph   0 meV/atom
Total magnetic moment   9.4 μB/f.u.
SG   P4/mmm (123)
Formation enthalpy at 0 K   0.088 eV/atom
Calculated total energy   -9.62 eV per atom

=====

Entry 4:
The following is a GGA-PBE calculation of a relaxed structure of CoHg2PdRu, from Alexandria via LeMat-Bulk.

Cell: 4.829 4.549 4.829 Å, 90.00 90.00 90.00°
Last column: magnetic moment on the atom in μB.
Positions (direct):
Pd 0.000 0.500 0.000  0.30
Ru 0.500 0.500 0.500  2.02
Hg 0.000 0.000 0.500  -0.03
Hg 0.500 0.000 0.000  -0.04
Co 0.000 0.000 0.000  1.42

Output
Volume   106.09 Å³ per cell
Total magnetic moment   3.7 μB/f.u.
SG   P4/mmm (123)
Formation enthalpy at 0 K   1.209 eV/atom
Calculated total energy   -3.23 eV per atom

=====

Entry 5:
The following is a GGA-PBE calculation of a relaxed structure of MgTa2V2Ru5, from Alexandria via LeMat-Bulk.

Cell: 3.367 9.569 9.569 Å, 90.00 90.00 90.00°
Positions (direct):
Ru 0.500 0.206 0.067
Ru 0.500 0.933 0.206
Ru 0.500 0.706 0.433
Ru 0.500 0.433 0.294
Ru 0.500 0.294 0.567
Ru 0.500 0.794 0.933
Ru 0.500 0.067 0.794
Ru 0.500 0.500 0.000
Ru 0.500 0.000 0.500
Ru 0.500 0.567 0.706
V 0.000 0.872 0.372
V 0.000 0.628 0.872
V 0.000 0.372 0.128
V 0.000 0.128 0.628
Ta 0.000 0.173 0.327
Ta 0.000 0.673 0.173
Ta 0.000 0.327 0.827
Ta 0.000 0.827 0.673
Mg 0.000 0.500 0.500
Mg 0.000 0.000 0.000

Output
Volume   308.30 Å³ per cell
Total magnetic moment   0.0 μB/f.u.
SG   P4/mbm (127)
Formation enthalpy at 0 K   -0.040 eV/atom
Calculated total energy   -9.03 eV per atom

=====

Entry 6:
The following is a GGA-PBE calculation of a relaxed structure of Ir9Ru2Pt, from Alexandria via LeMat-Bulk.

Cell: 3.864 3.864 11.640 Å, 90.00 90.00 90.00°
Positions (direct):
Ir 0.500 0.000 0.829
Ir 0.500 0.000 0.171
Ir 0.500 0.000 0.500
Ir 0.500 0.500 0.336
Ir 0.000 0.500 0.171
Ir 0.500 0.500 0.664
Ir 0.000 0.500 0.500
Ir 0.000 0.500 0.829
Ir 0.500 0.500 0.000
Ru 0.000 0.000 0.331
Ru 0.000 0.000 0.669
Pt 0.000 0.000 0.000

Output
Volume   173.82 Å³ per cell
Total magnetic moment   0.0 μB/f.u.
SG   P4/mmm (123)
Formation enthalpy at 0 K   -0.025 eV/atom
Calculated total energy   -8.72 eV per atom

=====

Entry 7:
The following is a GGA-PBE calculation of a relaxed structure of Tm4AuC2, from Alexandria via LeMat-Bulk.

Cell: 3.620 6.272 12.748 Å, 90.00 90.00 106.77°
Last column: magnetic moment on the atom in μB.
Positions (direct):
C 0.135 0.270 0.061  0.01
C 0.865 0.730 0.939  0.01
C 0.135 0.270 0.439  0.01
C 0.865 0.730 0.561  0.01
Tm 0.500 0.000 0.500  0.14
Tm 0.765 0.530 0.104  0.11
Tm 0.235 0.470 0.896  0.11
Tm 0.235 0.470 0.604  0.11
Tm 0.076 0.152 0.250  0.07
Tm 0.765 0.530 0.396  0.11
Tm 0.500 0.000 0.000  0.14
Tm 0.924 0.848 0.750  0.07
Au 0.612 0.224 0.750  0.04
Au 0.388 0.776 0.250  0.04

Output
Volume   277.12 Å³ per cell
Total magnetic moment   0.7 μB/f.u.
SG   Cmcm (63)
Formation enthalpy at 0 K   -0.455 eV/atom
Calculated total energy   -6.11 eV per atom

=====

Entry 8:
The following is a GGA-PBE calculation of a relaxed structure of Fe2ReOs, from Alexandria via LeMat-Bulk.

Cell: 4.245 4.245 4.245 Å, 60.00 60.00 60.00°
Last column: magnetic moment on the atom in μB.
Positions (direct):
Re 0.750 0.750 0.750  0.04
Fe 0.250 0.250 0.250  2.65
Fe 0.000 0.000 0.000  2.44
Os 0.500 0.500 0.500  0.41

Output
Volume   54.10 Å³ per cell
Total magnetic moment   5.5 μB/f.u.
SG   F-43m (216)
Formation enthalpy at 0 K   0.201 eV/atom
Calculated total energy   -9.95 eV per atom